(1)
{"formula": "LiPmSmCd", "functional": "PBE", "state": "relaxed", "cell": [[0.0000, 3.8016, 3.8016], [3.8016, 0.0000, 3.8016], [3.8016, 3.8016, 0.0000]], "species": ["Li", "Pm", "Sm", "Cd"], "fractional_positions": [[0.0000, 0.0000, 0.0000], [0.2500, 0.2500, 0.2500], [0.7500, 0.7500, 0.7500], [0.5000, 0.5000, 0.5000]], "ef_ev_per_atom": -0.119, "magnetic_moment_mub_per_cell": 0.2, "crystal_system": "cubic"}


(2)
{"formula": "Ac3La3Tl2Au", "functional": "PBE", "state": "relaxed", "cell": [[9.3983, 0.0000, 0.0000], [-4.6992, 8.1392, 0.0000], [0.0000, 0.0000, 4.0863]], "species": ["Ac", "Ac", "Ac", "La", "La", "La", "Tl", "Tl", "Au"], "fractional_positions": [[0.0000, 0.7425, 0.0000], [0.2575, 0.2575, 0.0000], [0.7425, 0.0000, 0.0000], [0.0000, 0.4030, 0.5000], [0.4030, 0.0000, 0.5000], [0.5970, 0.5970, 0.5000], [0.3333, 0.6667, 0.0000], [0.6667, 0.3333, 0.0000], [0.0000, 0.0000, 0.5000]], "ef_ev_per_atom": -0.360, "magnetic_moment_mub_per_cell": 0.0, "crystal_system": "hexagonal"}


(3)
{"formula": "SrNi2Ge", "functional": "PBE", "state": "relaxed", "cell": [[-2.3922, 2.3922, 7.8192], [2.3922, -2.3922, 7.8192], [2.3922, 2.3922, -7.8192]], "species": ["Sr", "Sr", "Ni", "Ni", "Ni", "Ni", "Ge", "Ge"], "fractional_positions": [[0.0000, 0.0000, 0.0000], [0.7500, 0.2500, 0.5000], [0.3661, 0.6250, 0.2411], [0.3750, 0.6161, 0.7411], [0.3839, 0.1250, 0.7589], [0.8750, 0.6339, 0.2589], [0.2500, 0.7500, 0.5000], [0.5000, 0.5000, 0.0000]], "ef_ev_per_atom": -0.185, "magnetic_moment_mub_per_cell": 0.0, "crystal_system": "tetragonal"}


Copy entry 3 word for word.
{"formula": "SrNi2Ge", "functional": "PBE", "state": "relaxed", "cell": [[-2.3922, 2.3922, 7.8192], [2.3922, -2.3922, 7.8192], [2.3922, 2.3922, -7.8192]], "species": ["Sr", "Sr", "Ni", "Ni", "Ni", "Ni", "Ge", "Ge"], "fractional_positions": [[0.0000, 0.0000, 0.0000], [0.7500, 0.2500, 0.5000], [0.3661, 0.6250, 0.2411], [0.3750, 0.6161, 0.7411], [0.3839, 0.1250, 0.7589], [0.8750, 0.6339, 0.2589], [0.2500, 0.7500, 0.5000], [0.5000, 0.5000, 0.0000]], "ef_ev_per_atom": -0.185, "magnetic_moment_mub_per_cell": 0.0, "crystal_system": "tetragonal"}